Model P:
Compound: KH4Ir
Source: Alexandria
Functional: PBE-GGA
Structure: relaxed

a = 5.404 Å, b = 6.068 Å, c = 6.068 Å
α = 112.89°, β = 101.57°, γ = 101.57°
Each line ends with the local moment (μB).
Atoms (fractional coordinates):
H: 0.000 0.121 0.896  0.00
H: 0.127 0.737 0.726  0.00
H: 0.500 0.104 0.879  0.00
H: 0.000 0.879 0.104  0.00
H: 0.627 0.726 0.737  0.00
H: 0.500 0.896 0.121  0.00
H: 0.373 0.274 0.263  0.00
H: 0.873 0.263 0.274  0.00
K: 0.250 0.348 0.652  0.00
K: 0.750 0.652 0.348  0.00
Ir: 0.250 0.003 0.997  0.37
Ir: 0.750 0.997 0.003  0.37

Model Q:
Compound: KH4Ir
Source: Alexandria
Functional: PBE-GGA
Structure: relaxed

a = 4.591 Å, b = 4.581 Å, c = 5.758 Å
α = 90.00°, β = 90.20°, γ = 90.00°
Atoms (fractional coordinates):
Ir: 0.500 0.000 0.500
Ir: 0.000 0.500 0.500
H: 0.178 0.823 0.573
H: 0.322 0.323 0.427
H: 0.678 0.677 0.573
H: 0.995 0.523 0.210
H: 0.505 0.023 0.790
H: 0.005 0.477 0.790
H: 0.495 0.977 0.210
H: 0.822 0.177 0.427
K: 0.500 0.500 0.000
K: 0.000 0.000 0.000

Which of them is most stable, and which least? Most stable: model Q; least stable: model P.